Cs2ScTcAu: optimized geometry, PBE.

abc: 6.517 6.517 4.756
angles: 90.00 90.00 90.00
Fractional positions:
Cs1 0.000 0.500 0.000
Cs2 0.500 0.000 0.000
Sc1 0.000 0.000 0.500
Tc1 0.000 0.000 0.000
Au1 0.500 0.500 0.500

**Electronic total energy**: -0.129 Ha/atom
**SG**: P4/mmm (123)
**Energy of formation**: 80.2 kJ/mol of atoms